1.
Here is HfInAg after structural relaxation from the Alexandria database. Energies are from GGA-PBE.

E_tot: -5.22 eV per atom
space-group type: Amm2, No. 38

a = 3.2699 Å, b = 4.9966 Å, c = 7.8765 Å
α = 90.02°, β = 101.98°, γ = 90.00°
Atoms (fractional coordinates):
Ag 0.6240 0.1639 0.9991
Ag 0.0773 0.6640 0.9055
In 0.2829 0.1644 0.3170
In 0.9609 0.1645 0.6733
Hf 0.4084 0.6645 0.5680
Hf 0.7430 0.6643 0.2370

***

2.
Here is TaN after structural relaxation from the Alexandria database. Energies are from GGA-PBE.

uncorrected formation energy: -0.7514 eV per atom
space-group type: C2/m, No. 12

a = 6.0081 Å, b = 4.1933 Å, c = 4.2045 Å
α = 90.00°, β = 110.33°, γ = 90.00°
Atoms (fractional coordinates):
Ta 0.2498 0.0000 0.6272
Ta 0.7502 0.5000 0.8728
Ta 0.2498 0.5000 0.1272
Ta 0.7502 0.0000 0.3728
N 0.6800 0.0000 0.8384
N 0.3200 0.0000 0.1616
N 0.6800 0.5000 0.3384
N 0.3200 0.5000 0.6616

***

3.
Here is Rb2NpTeO2 after structural relaxation from the Alexandria database. Energies are from GGA-PBE.

uncorrected formation energy: -1.7400 eV per atom
space-group type: P4/mmm, No. 123

a = 4.4926 Å, b = 4.4926 Å, c = 7.1138 Å
α = 90.00°, β = 90.00°, γ = 90.00°
Each line ends with the local moment (μB).
Atoms (fractional coordinates):
Np 0.0000 0.0000 0.0000  3.25
O 0.0000 0.5000 0.0000  -0.12
O 0.5000 0.0000 0.0000  -0.12
Rb 0.5000 0.5000 0.7282  0.00
Rb 0.5000 0.5000 0.2718  0.00
Te 0.0000 0.0000 0.5000  -0.07

***

The total magnetization results, record by record, are as follows: 0.00 0.00 2.99 μB/f.u..